Entry 1:
Material: Cu4PdPt
Method: DFT, GGA-PBE
State: optimized geometry

abc: 3.828 7.339 5.977
angles: 90.00 108.98 90.00
Element x y z (fractional)
Cu 0.336 0.000 0.671
Cu 0.664 0.000 0.329
Cu 0.664 0.500 0.329
Cu 0.336 0.500 0.671
Cu 0.000 0.500 0.000
Cu 0.000 0.000 0.000
Cu 0.499 0.250 0.999
Cu 0.501 0.750 0.001
Pd 0.838 0.750 0.676
Pd 0.162 0.250 0.324
Pt 0.839 0.250 0.678
Pt 0.161 0.750 0.322

Calculated density, Mg/m³: 11.6
Energy of formation, eV per atom: -0.124
Total DFT energy (no corrections), Ry/atom: -0.347
Size of the total moment, μB/f.u.: 0.00
Space group: P2_1/m
Polymorph energy (0 for the lowest one), meV per atom: 0


Entry 2:
Material: Cu9Pd11Pt4
Method: DFT, GGA-PBE
State: optimized geometry

abc: 2.784 11.231 11.231
angles: 101.47 90.00 90.00
Element x y z (fractional)
Cu 0.500 0.601 0.149
Cu 0.500 0.399 0.851
Cu 0.500 0.149 0.601
Cu 0.500 0.851 0.399
Cu 0.500 0.804 0.999
Cu 0.500 0.196 0.001
Cu 0.500 0.999 0.804
Cu 0.500 0.001 0.196
Cu 0.500 0.500 0.500
Pd 0.000 0.604 0.950
Pd 0.000 0.396 0.050
Pd 0.000 0.950 0.604
Pd 0.000 0.050 0.396
Pd 0.000 0.638 0.362
Pd 0.000 0.362 0.638
Pd 0.000 0.803 0.197
Pd 0.000 0.197 0.803
Pd 0.000 0.000 0.000
Pd 0.000 0.795 0.795
Pd 0.000 0.205 0.205
Pt 0.500 0.576 0.732
Pt 0.500 0.424 0.268
Pt 0.500 0.732 0.576
Pt 0.500 0.268 0.424

Calculated density, Mg/m³: 12.2
Energy of formation, eV per atom: -0.074
Total DFT energy (no corrections), Ry/atom: -0.367
Size of the total moment, μB/f.u.: 0.00
Space group: Cmmm


Entry 3:
Material: CuPd4Pt5
Method: DFT, GGA-PBE
State: optimized geometry

abc: 4.661 8.760 8.165
angles: 90.00 90.00 90.00
Element x y z (fractional)
Cu 0.743 0.000 0.000
Cu 0.257 0.500 0.500
Pd 0.901 0.000 0.675
Pd 0.247 0.805 0.000
Pd 0.247 0.195 0.000
Pd 0.901 0.000 0.325
Pd 0.099 0.500 0.175
Pd 0.753 0.695 0.500
Pd 0.753 0.305 0.500
Pd 0.099 0.500 0.825
Pt 0.255 0.753 0.668
Pt 0.255 0.247 0.668
Pt 0.576 0.500 0.000
Pt 0.255 0.753 0.332
Pt 0.255 0.247 0.332
Pt 0.745 0.747 0.168
Pt 0.745 0.253 0.168
Pt 0.424 0.000 0.500
Pt 0.745 0.253 0.832
Pt 0.745 0.747 0.832

Calculated density, Mg/m³: 14.6
Energy of formation, eV per atom: 0.111
Total DFT energy (no corrections), Ry/atom: -0.397
Size of the total moment, μB/f.u.: 0.00
Space group: Pmmn
Polymorph energy (0 for the lowest one), meV per atom: 175


Entry 4:
Material: Cu3PdPt6
Method: DFT, GGA-PBE
State: optimized geometry

abc: 7.953 7.953 7.953
angles: 114.08 114.08 114.08
Element x y z (fractional)
Cu 0.750 0.467 0.033
Cu 0.467 0.033 0.750
Cu 0.033 0.750 0.467
Cu 0.533 0.967 0.250
Cu 0.967 0.250 0.533
Cu 0.250 0.533 0.967
Pd 0.750 0.750 0.750
Pd 0.250 0.250 0.250
Pt 0.779 0.837 0.135
Pt 0.837 0.135 0.779
Pt 0.135 0.779 0.837
Pt 0.635 0.337 0.279
Pt 0.337 0.279 0.635
Pt 0.279 0.635 0.337
Pt 0.221 0.163 0.865
Pt 0.163 0.865 0.221
Pt 0.865 0.221 0.163
Pt 0.365 0.663 0.721
Pt 0.663 0.721 0.365
Pt 0.721 0.365 0.663

Calculated density, Mg/m³: 16.0
Energy of formation, eV per atom: 0.107
Total DFT energy (no corrections), Ry/atom: -0.387
Size of the total moment, μB/f.u.: 0.00
Space group: R-3c


Entry 5:
Material: Cu3Pd2Pt4
Method: DFT, GGA-PBE
State: optimized geometry

abc: 2.727 2.727 20.596
angles: 90.00 90.00 120.00
Element x y z (fractional)
Cu 0.000 0.000 0.982
Cu 0.000 0.000 0.323
Cu 0.667 0.333 0.654
Pd 0.667 0.333 0.086
Pd 0.667 0.333 0.878
Pt 0.000 0.000 0.549
Pt 0.667 0.333 0.428
Pt 0.667 0.333 0.218
Pt 0.000 0.000 0.760

Calculated density, Mg/m³: 14.8
Energy of formation, eV per atom: -0.062
Total DFT energy (no corrections), Ry/atom: -0.387
Size of the total moment, μB/f.u.: 0.00
Space group: P3m1
Polymorph energy (0 for the lowest one), meV per atom: 0


Entry 6:
Material: Cu8Pd2Pt
Method: DFT, GGA-PBE
State: optimized geometry

abc: 4.469 6.706 7.251
angles: 62.46 72.67 49.90
Element x y z (fractional)
Cu 0.758 0.103 0.260
Cu 0.758 0.363 0.740
Cu 0.241 0.505 0.000
Cu 0.500 0.800 0.400
Cu 0.500 0.200 0.600
Cu 0.759 0.495 0.000
Cu 0.242 0.637 0.260
Cu 0.242 0.897 0.740
Pd 0.000 0.315 0.370
Pd 0.000 0.685 0.630
Pt 0.500 0.000 0.000

Calculated density, Mg/m³: 10.3
Energy of formation, eV per atom: 0.043
Total DFT energy (no corrections), Ry/atom: -0.326
Size of the total moment, μB/f.u.: 0.00
Space group: C2/m
Polymorph energy (0 for the lowest one), meV per atom: 40


Entry 7:
Material: Cu2Pd3Pt2
Method: DFT, GGA-PBE
State: optimized geometry

abc: 2.735 3.875 10.074
angles: 78.91 90.00 90.00
Element x y z (fractional)
Cu 0.000 0.142 0.717
Cu 0.000 0.858 0.283
Pd 0.500 0.428 0.143
Pd 0.500 0.572 0.857
Pd 0.000 0.000 0.000
Pt 0.500 0.294 0.411
Pt 0.500 0.706 0.589

Calculated density, Mg/m³: 13.3
Energy of formation, eV per atom: 0.007
Total DFT energy (no corrections), Ry/atom: -0.376
Size of the total moment, μB/f.u.: 0.00
Space group: Cmmm
Polymorph energy (0 for the lowest one), meV per atom: 0


Entry 8:
Material: Cu3PdPt
Method: DFT, GGA-PBE
State: optimized geometry

abc: 4.638 4.638 4.638
angles: 90.00 90.00 90.00
Element x y z (fractional)
Cu 0.000 0.500 0.000
Cu 0.000 0.000 0.500
Cu 0.500 0.000 0.000
Pd 0.500 0.500 0.500
Pt 0.000 0.000 0.000

Calculated density, Mg/m³: 8.2
Energy of formation, eV per atom: 0.938
Total DFT energy (no corrections), Ry/atom: -0.277
Size of the total moment, μB/f.u.: 0.00
Space group: Pm-3m
Polymorph energy (0 for the lowest one), meV per atom: 1059


Question: Number 2 is which compound?
Answer: Cu9Pd11Pt4